1.
Ag2TeRh: relaxed, GGA-PBEsol.

Cell lengths 4.208, 4.208, 7.826 Å; angles 90.00, 90.00, 90.00 degrees
Fractional positions:
Ag  0.000  0.000  0.000
Ag  0.000  0.500  0.250
Ag  0.500  0.000  0.750
Ag  0.500  0.500  0.500
Te  0.000  0.500  0.750
Te  0.500  0.000  0.250
Rh  0.000  0.000  0.500
Rh  0.500  0.500  0.000

As for the space group: I-4m2. Its crystal system is tetragonal. As for the uncorrected formation energy: 0.5 eV per formula unit.



2.
Ag2TeRh: relaxed, GGA-PBEsol.

Cell lengths 3.885, 3.885, 9.195 Å; angles 90.00, 90.00, 90.00 degrees
Fractional positions:
Ag  0.000  0.500  0.250
Ag  0.000  0.500  0.750
Ag  0.500  0.000  0.250
Ag  0.500  0.000  0.750
Te  0.000  0.000  0.000
Te  0.500  0.500  0.500
Rh  0.000  0.000  0.500
Rh  0.500  0.500  0.000

As for the space group: I4/mmm. Its crystal system is tetragonal. As for the uncorrected formation energy: 0.3 eV per formula unit.



3.
Ti2AgRh2: relaxed, GGA-PBEsol.

Cell lengths 7.246, 7.246, 2.916 Å; angles 90.00, 90.00, 90.00 degrees
Fractional positions:
Ti  0.160  0.340  0.000
Ti  0.340  0.840  0.000
Ti  0.660  0.160  0.000
Ti  0.840  0.660  0.000
Ag  0.000  0.000  0.500
Ag  0.500  0.500  0.500
Rh  0.138  0.638  0.500
Rh  0.362  0.138  0.500
Rh  0.638  0.862  0.500
Rh  0.862  0.362  0.500

As for the space group: P4/mbm. Its crystal system is tetragonal. The calculation puts the formation energy at -11.6 kcal/mol of atoms.



4.
TlAg2Rh: relaxed, GGA-PBEsol.

Cell lengths 3.025, 3.861, 5.874 Å; angles 90.00, 90.00, 90.00 degrees
Fractional positions:
Tl  0.000  0.000  0.000
Ag  0.000  0.000  0.519
Ag  0.500  0.500  0.290
Rh  0.500  0.500  0.777

As for the space group: Pmm2. Its crystal system is orthorhombic. As for the relative energy among the computed polymorphs: 0.34 eV/f.u. The calculation puts the formation energy at 3.5 kcal/mol of atoms.



Ordered Fermi-level density of states results: 5.8 3.2 7.6 1.6; unit states/eV/cell.